# Ca2ZnRe, single point on PBEsol structure, DFT meta-GGA SCAN
data_Ca2ZnRe
_chemical_formula_sum 'Ca2 Zn1 Re1'
_symmetry_space_group_name_H-M 'P 1'
_symmetry_Int_Tables_number 1
_cell_length_a 6.2188
_cell_length_b 6.2188
_cell_length_c 6.2188
_cell_angle_alpha 152.05
_cell_angle_beta 130.32
_cell_angle_gamma 57.96
loop_
_symmetry_equiv_pos_as_xyz
'x,y,z'
loop_
_atom_site_label
_atom_site_type_symbol
_atom_site_fract_x
_atom_site_fract_y
_atom_site_fract_z
_atom_site_occupancy
Ca1 Ca 0.0000 0.0000 0.0000 1
Ca2 Ca 0.6957 0.1957 0.5000 1
Zn1 Zn 0.4387 0.4387 0.0000 1
Re1 Re 0.2501 0.7501 0.5000 1
# * N(E_F): 0.61 states/eV/atom
# * energy of formation from the pure elements: 0.415 eV per atom
# * crystal system: orthorhombic

# BaZnRh2, single point on PBEsol structure, DFT meta-GGA SCAN
data_BaZnRh2
_chemical_formula_sum 'Ba1 Zn1 Rh2'
_symmetry_space_group_name_H-M 'P 1'
_symmetry_Int_Tables_number 1
_cell_length_a 3.1582
_cell_length_b 3.2974
_cell_length_c 7.0420
_cell_angle_alpha 90.00
_cell_angle_beta 98.14
_cell_angle_gamma 90.00
loop_
_symmetry_equiv_pos_as_xyz
'x,y,z'
loop_
_atom_site_label
_atom_site_type_symbol
_atom_site_fract_x
_atom_site_fract_y
_atom_site_fract_z
_atom_site_occupancy
Ba1 Ba 0.0000 0.0000 0.0000 1
Zn1 Zn 0.0000 0.0000 0.5000 1
Rh1 Rh 0.4395 0.5000 0.3108 1
Rh2 Rh 0.5605 0.5000 0.6892 1
# * N(E_F): 0.48 states/eV/atom
# * energy of formation from the pure elements: 0.068 eV per atom
# * crystal system: monoclinic

# Sc3SiNi3, single point on PBEsol structure, DFT meta-GGA SCAN
data_Sc3SiNi3
_chemical_formula_sum 'Sc6 Si2 Ni6'
_symmetry_space_group_name_H-M 'P 1'
_symmetry_Int_Tables_number 1
_cell_length_a 5.0331
_cell_length_b 5.0331
_cell_length_c 13.4575
_cell_angle_alpha 106.67
_cell_angle_beta 106.67
_cell_angle_gamma 42.26
loop_
_symmetry_equiv_pos_as_xyz
'x,y,z'
loop_
_atom_site_label
_atom_site_type_symbol
_atom_site_fract_x
_atom_site_fract_y
_atom_site_fract_z
_atom_site_occupancy
Sc1 Sc 0.0130 0.0130 0.3830 1
Sc2 Sc 0.1085 0.1085 0.9247 1
Sc3 Sc 0.2409 0.2409 0.2249 1
Sc4 Sc 0.7591 0.7591 0.7751 1
Sc5 Sc 0.8915 0.8915 0.0753 1
Sc6 Sc 0.9870 0.9870 0.6170 1
Si1 Si 0.2729 0.2729 0.6182 1
Si2 Si 0.7271 0.7271 0.3818 1
Ni1 Ni 0.3460 0.3460 0.4669 1
Ni2 Ni 0.3925 0.3925 0.9252 1
Ni3 Ni 0.4704 0.4704 0.7719 1
Ni4 Ni 0.5296 0.5296 0.2281 1
Ni5 Ni 0.6075 0.6075 0.0748 1
Ni6 Ni 0.6540 0.6540 0.5331 1
# * N(E_F): 0.73 states/eV/atom
# * energy relative to the elements, uncorrected: -0.629 eV per atom
# * crystal system: monoclinic

Number 1: size of the total moment 0.000 μB per formula unit. Number 2: size of the total moment 0.000 μB per formula unit. Number 3: size of the total moment 0.000 μB per formula unit.